# 1
SrTl2PdPb | PBE | relaxed

The energy relative to the elements is -0.187 eV per atom. Its crystal system is tetragonal. Its calculated total energy is -0.1194 Ha/atom. For the density of states at the Fermi level, the calculation gives 0.6476 states/eV per atom.

The space group is P4/mmm (No. 123) and the conventional cell measures 5.313, 5.313 and 5.720 Å, with angles of 90.00, 90.00 and 90.00 degrees. The asymmetric unit holds Sr at (0.000, 0.000, 0.000), Tl at (0.000, 0.500, 0.500), Pd at (0.000, 0.000, 0.500) and Pb at (0.500, 0.500, 0.000).

# 2
Sr2TlPdPb | PBE | relaxed

The energy relative to the elements is -0.365 eV per atom. Its crystal system is tetragonal. The energy above the lowest structure with this stoichiometry comes out at 0.23 kcal/mol of atoms. Its calculated total energy is -0.1209 Ha/atom. For the density of states at the Fermi level, the calculation gives 0.7538 states/eV per atom.

The space group is P4/mmm (No. 123) and the conventional cell measures 5.779, 5.779 and 5.250 Å, with angles of 90.00, 90.00 and 90.00 degrees. The asymmetric unit holds Sr at (0.000, 0.500, 0.000), Tl at (0.000, 0.000, 0.500), Pd at (0.000, 0.000, 0.000) and Pb at (0.500, 0.500, 0.500).

# 3
Sr2TlPdPb | PBE | relaxed

The energy relative to the elements is -0.375 eV per atom. Its crystal system is tetragonal. The energy above the lowest structure with this stoichiometry comes out at 0.00 kcal/mol of atoms. Its calculated total energy is -0.1213 Ha/atom. For the density of states at the Fermi level, the calculation gives 0.6301 states/eV per atom.

The space group is P4/mmm (No. 123) and the conventional cell measures 5.875, 5.875 and 5.200 Å, with angles of 90.00, 90.00 and 90.00 degrees. The asymmetric unit holds Sr at (0.000, 0.500, 0.000), Tl at (0.000, 0.000, 0.500), Pd at (0.500, 0.500, 0.000) and Pb at (0.500, 0.500, 0.500).

# 4
SrTlPd3Pb | PBE | relaxed

The energy relative to the elements is -0.267 eV per atom. Its crystal system is orthorhombic. Its calculated total energy is -0.1527 Ha/atom. For the density of states at the Fermi level, the calculation gives 0.5613 states/eV per atom.

The space group is Cmcm (No. 63) and the conventional cell measures 6.899, 12.922 and 6.535 Å, with angles of 90.00, 90.00 and 90.00 degrees. The asymmetric unit holds Sr at (0.000, 0.181, 0.250), Tl at (0.000, 0.430, 0.250), Pd at (0.000, 0.352, 0.750), Pd at (0.209, 0.000, 0.000) and Pb at (0.000, 0.138, 0.750).